(1)
First-principles (PBE) data for a relaxed structure of CdAsSe2, as listed in Alexandria.

**Formation energy (no corrections)**: 7.3 kJ per mole of atoms
**Polymorph energy (0 for the lowest one)**: 0.240 eV/atom
**Calculated volume**: 118 Å³ per cell
**SG**: I-4m2 (119)

Geometry as POSCAR:
```
CdAsSe2
1.0
8.724 0.222 0.000
6.962 5.262 0.000
-7.843 -2.742 2.669
As Se Cd
1 2 1
direct
0.500 0.500 0.000
0.250 0.750 0.500
0.000 0.000 0.000
0.750 0.250 0.500
```

=====

(2)
First-principles (PBE) data for a relaxed structure of CdAsSe2, as listed in Alexandria.

**Formation energy (no corrections)**: -15.5 kJ per mole of atoms
**Polymorph energy (0 for the lowest one)**: 0.004 eV/atom
**Calculated volume**: 93 Å³ per cell
**SG**: R-3m (166)

Geometry as POSCAR:
```
CdAsSe2
1.0
-2.705 -0.096 -6.390
1.291 -0.612 -6.791
-1.059 -3.740 -5.749
Cd As Se
1 1 2
direct
0.750 0.750 0.750
0.250 0.250 0.250
0.994 0.994 0.994
0.506 0.506 0.506
```

=====

(3)
First-principles (PBE) data for a relaxed structure of Cd4As2Se, as listed in Alexandria.

**Formation energy (no corrections)**: 14.9 kJ per mole of atoms
**Calculated volume**: 195 Å³ per cell
**SG**: I4/mmm (139)

Geometry as POSCAR:
```
Cd4As2Se
1.0
5.378 0.000 0.000
0.000 5.378 0.000
2.689 2.689 6.738
Cd Se As
4 1 2
direct
0.799 0.799 0.402
0.201 0.201 0.598
0.000 0.500 0.000
0.500 0.000 0.000
0.000 0.000 0.000
0.391 0.391 0.218
0.609 0.609 0.782
```

=====

(4)
First-principles (PBE) data for a relaxed structure of CdAsSe4, as listed in Alexandria.

**Formation energy (no corrections)**: 59.1 kJ per mole of atoms
**Calculated volume**: 133 Å³ per cell
**SG**: F-43m (216)

Geometry as POSCAR:
```
CdAsSe4
1.0
3.902 -3.655 -2.047
-0.004 -5.457 1.731
-1.582 -4.148 -3.614
Cd As Se
1 1 4
direct
0.000 0.000 0.000
0.750 0.750 0.750
0.374 0.374 0.374
0.374 0.877 0.374
0.877 0.374 0.374
0.374 0.374 0.877
```

=====

(5)
First-principles (PBE) data for a relaxed structure of CdAsSe2, as listed in Alexandria.

**Formation energy (no corrections)**: 20.2 kJ per mole of atoms
**Polymorph energy (0 for the lowest one)**: 0.373 eV/atom
**Calculated volume**: 85 Å³ per cell
**SG**: Fm-3m (225)

Geometry as POSCAR:
```
CdAsSe2
1.0
-4.657 -0.370 -1.564
-3.232 3.575 1.020
-1.632 2.945 -3.596
Se As Cd
2 1 1
direct
0.250 0.250 0.250
0.750 0.750 0.750
0.000 0.000 0.000
0.500 0.500 0.500
```

=====

(6)
First-principles (PBE) data for a relaxed structure of Cd3AsSe, as listed in Alexandria.

**Formation energy (no corrections)**: 13.6 kJ per mole of atoms
**Polymorph energy (0 for the lowest one)**: 0.278 eV/atom
**Calculated volume**: 142 Å³ per cell
**SG**: Pm-3m (221)

Geometry as POSCAR:
```
Cd3AsSe
1.0
-3.870 -1.238 3.264
2.328 -4.547 1.035
2.602 2.227 3.929
Se Cd As
1 3 1
direct
0.500 0.500 0.500
0.000 0.500 0.000
0.000 0.000 0.500
0.500 0.000 0.000
0.000 0.000 0.000
```

=====

(7)
First-principles (PBE) data for a relaxed structure of CdAsSe2, as listed in Alexandria.

**Formation energy (no corrections)**: -0.8 kJ per mole of atoms
**Polymorph energy (0 for the lowest one)**: 0.156 eV/atom
**Calculated volume**: 99 Å³ per cell
**SG**: P2/m (10)

Geometry as POSCAR:
```
CdAsSe2
1.0
3.702 0.000 0.000
0.000 3.749 -0.029
0.000 1.658 7.104
As Se Cd
1 2 1
direct
0.500 0.250 0.250
0.000 0.193 0.515
0.000 0.307 0.985
0.500 0.750 0.750
```

=====

(8)
First-principles (PBE) data for a relaxed structure of CdAs4Se, as listed in Alexandria.

**Formation energy (no corrections)**: 39.7 kJ per mole of atoms
**Calculated volume**: 140 Å³ per cell
**SG**: F-43m (216)

Geometry as POSCAR:
```
CdAs4Se
1.0
-0.104 3.638 4.557
-0.128 5.765 -0.874
-4.838 3.025 1.206
As Se Cd
4 1 1
direct
0.359 0.922 0.359
0.359 0.359 0.922
0.922 0.359 0.359
0.359 0.359 0.359
0.000 0.000 0.000
0.750 0.750 0.750
```

=====

> Which value of calculated volume does entry 5 give?

85 Å³ per cell